A plane-wave DFT calculation with PBE was carried out for Tl7Hg2Sb2 after structural relaxation.

Structure (POSCAR):
```
Tl7Hg2Sb2
1.0
4.728 0.000 0.000
2.364 9.271 0.093
2.364 4.477 8.118
Tl Hg Sb
7 2 2
Direct
0.848 0.048 0.256
0.852 0.467 0.828
0.500 0.001 0.999
0.643 0.473 0.241
0.357 0.759 0.527
0.152 0.744 0.952
0.148 0.172 0.533
0.000 0.639 0.361
0.500 0.339 0.661
0.718 0.887 0.676
0.282 0.324 0.113
```

Summary:
total energy	-25.46	eV for the cell shown
volume	32.2	A^3/atom
total moment	0.00	Bohr magnetons per cell